A relaxed Tm6Te2H crystal. Source: the Alexandria database, functional PBE-GGA.

Cell: 6.508 7.158 9.741 Å, 90.00 90.01 90.00°
Sites, in units of the cell vectors:
1 H 0.500 0.500 0.000
2 H 0.000 0.000 0.500
3 Te 0.397 0.117 0.251
4 Te 0.103 0.617 0.249
5 Te 0.603 0.883 0.749
6 Te 0.897 0.383 0.751
7 Tm 0.616 0.206 0.539
8 Tm 0.618 0.203 0.961
9 Tm 0.154 0.019 0.749
10 Tm 0.384 0.794 0.461
11 Tm 0.116 0.294 0.039
12 Tm 0.346 0.519 0.751
13 Tm 0.654 0.481 0.249
14 Tm 0.118 0.297 0.461
15 Tm 0.382 0.797 0.039
16 Tm 0.884 0.706 0.961
17 Tm 0.846 0.981 0.251
18 Tm 0.882 0.703 0.539

E, eV per atom: -4.639
Space-group type: No. 14